Run w
{
  "formula": "As2AuCl",
  "functional": "PBE",
  "state": "optimized geometry",
  "cell": [[3.471, -2.111, 0.000], [3.471, 2.111, 0.000], [-0.922, 0.000, 6.593]],
  "species": ["As", "As", "Au", "Cl"],
  "fractional_positions": [[0.161, 0.161, 0.170], [0.839, 0.839, 0.830], [0.500, 0.500, 0.000], [0.000, 0.000, 0.500]],
  "m_tot_mub_per_fu": 0.0,
  "dos_ef_per_ev_cell": 0.97,
  "spacegroup": "C2/m (12)"
}

---

Run x
{
  "formula": "As2AuCl",
  "functional": "PBE",
  "state": "optimized geometry",
  "cell": [[1.567, -2.730, 0.000], [1.567, 2.730, 0.000], [0.000, 0.000, 9.158]],
  "species": ["As", "As", "Au", "Cl"],
  "fractional_positions": [[0.000, 0.000, 0.246], [0.000, 0.000, 0.754], [0.500, 0.500, 0.000], [0.500, 0.500, 0.500]],
  "m_tot_mub_per_fu": 0.0,
  "dos_ef_per_ev_cell": 1.75,
  "spacegroup": "Cmmm (65)"
}

---

Run y
{
  "formula": "As2AuCl",
  "functional": "PBE",
  "state": "optimized geometry",
  "cell": [[2.838, 0.000, 0.000], [0.000, 4.219, 0.000], [0.000, 0.000, 7.564]],
  "species": ["As", "As", "Au", "Cl"],
  "fractional_positions": [[0.000, 0.000, 0.174], [0.000, 0.000, 0.826], [0.500, 0.500, 0.000], [0.500, 0.500, 0.500]],
  "m_tot_mub_per_fu": 0.2,
  "dos_ef_per_ev_cell": 1.79,
  "spacegroup": "Pmmm (47)"
}

---

Short version: run w, run y, run x, most stable first.

---

Run w
{
  "formula": "AsAuCl2",
  "functional": "PBE",
  "state": "optimized geometry",
  "cell": [[3.044, 0.000, 0.000], [0.000, 3.337, 0.000], [-0.348, 0.000, 10.424]],
  "species": ["As", "Au", "Cl", "Cl"],
  "fractional_positions": [[0.000, 0.000, 0.000], [0.000, 0.000, 0.500], [0.019, 0.500, 0.176], [0.981, 0.500, 0.824]],
  "m_tot_mub_per_fu": 0.0,
  "dos_ef_per_ev_cell": 0.22,
  "spacegroup": "P2/m (10)"
}

---

Run x
{
  "formula": "AsAuCl2",
  "functional": "PBE",
  "state": "optimized geometry",
  "cell": [[5.959, 0.000, 0.000], [0.000, 3.560, 0.000], [-1.686, 0.000, 6.159]],
  "species": ["As", "Au", "Cl", "Cl"],
  "fractional_positions": [[0.000, 0.000, 0.000], [0.033, 0.500, 0.727], [0.106, 0.500, 0.375], [0.620, 0.000, 0.949]],
  "m_tot_mub_per_fu": 0.0,
  "dos_ef_per_ev_cell": 0.46,
  "spacegroup": "Pm (6)"
}

---

Short version: run x, run w, most stable first.

---

Run w
{
  "formula": "AsAuCl2",
  "functional": "PBE",
  "state": "optimized geometry",
  "cell": [[0.000, 3.395, 3.395], [3.395, 0.000, 3.395], [3.395, 3.395, 0.000]],
  "species": ["As", "Au", "Cl", "Cl"],
  "fractional_positions": [[0.000, 0.000, 0.000], [0.250, 0.250, 0.250], [0.500, 0.500, 0.500], [0.750, 0.750, 0.750]],
  "m_tot_mub_per_fu": 0.0,
  "dos_ef_per_ev_cell": 0.20,
  "spacegroup": "F-43m (216)"
}

---

Run x
{
  "formula": "AsAuCl2",
  "functional": "PBE",
  "state": "optimized geometry",
  "cell": [[-1.758, 3.715, 4.425], [1.758, -3.715, 4.425], [1.758, 3.715, -4.425]],
  "species": ["As", "Au", "Cl", "Cl"],
  "fractional_positions": [[0.000, 0.000, 0.000], [0.804, 0.304, 0.500], [0.228, 0.728, 0.500], [0.602, 0.602, 0.000]],
  "m_tot_mub_per_fu": 0.7,
  "dos_ef_per_ev_cell": 3.42,
  "spacegroup": "Imm2 (44)"
}

---

Run y
{
  "formula": "AsAuCl2",
  "functional": "PBE",
  "state": "optimized geometry",
  "cell": [[3.636, -3.688, 0.000], [3.636, 3.688, 0.000], [0.000, 0.000, 3.049]],
  "species": ["As", "Au", "Cl", "Cl"],
  "fractional_positions": [[0.000, 0.000, 0.000], [0.500, 0.500, 0.000], [0.000, 0.500, 0.500], [0.500, 0.000, 0.500]],
  "m_tot_mub_per_fu": 0.0,
  "dos_ef_per_ev_cell": 3.07,
  "spacegroup": "Cmmm (65)"
}

---

Run z
{
  "formula": "AsAuCl2",
  "functional": "PBE",
  "state": "optimized geometry",
  "cell": [[1.656, 0.956, 9.078], [-1.656, 0.956, 9.078], [0.000, -1.913, 9.078]],
  "species": ["As", "Au", "Cl", "Cl"],
  "fractional_positions": [[0.000, 0.000, 0.000], [0.500, 0.500, 0.500], [0.413, 0.413, 0.413], [0.587, 0.587, 0.587]],
  "m_tot_mub_per_fu": 0.0,
  "dos_ef_per_ev_cell": 1.05,
  "spacegroup": "R-3m (166)"
}

---

Short version: run x, run z, run w, run y, most stable first.

---

Run w
{
  "formula": "AsAu2Cl",
  "functional": "PBE",
  "state": "optimized geometry",
  "cell": [[2.997, 0.000, 0.000], [0.000, 4.700, 0.000], [0.000, 0.000, 5.637]],
  "species": ["As", "Au", "Au", "Cl"],
  "fractional_positions": [[0.000, 0.000, 0.000], [0.000, 0.500, 0.500], [0.500, 0.000, 0.500], [0.500, 0.500, 0.000]],
  "m_tot_mub_per_fu": 0.0,
  "dos_ef_per_ev_cell": 1.37,
  "spacegroup": "Pmmm (47)"
}

---

Run x
{
  "formula": "AsAu2Cl",
  "functional": "PBE",
  "state": "optimized geometry",
  "cell": [[0.000, 3.392, 3.392], [3.392, 0.000, 3.392], [3.392, 3.392, 0.000]],
  "species": ["As", "Au", "Au", "Cl"],
  "fractional_positions": [[0.000, 0.000, 0.000], [0.250, 0.250, 0.250], [0.750, 0.750, 0.750], [0.500, 0.500, 0.500]],
  "m_tot_mub_per_fu": 0.0,
  "dos_ef_per_ev_cell": 2.27,
  "spacegroup": "Fm-3m (225)"
}

---

Short version: run w, run x, most stable first.

---

Run w
{
  "formula": "AsAu2Cl",
  "functional": "PBE",
  "state": "optimized geometry",
  "cell": [[3.155, 0.000, 0.000], [0.000, 3.349, 0.000], [0.000, 0.000, 7.446]],
  "species": ["As", "Au", "Au", "Cl"],
  "fractional_positions": [[0.000, 0.000, 0.000], [0.500, 0.500, 0.224], [0.500, 0.500, 0.776], [0.000, 0.000, 0.500]],
  "m_tot_mub_per_fu": 0.0,
  "dos_ef_per_ev_cell": 1.40,
  "spacegroup": "Pmmm (47)"
}

---

Run x
{
  "formula": "AsAu2Cl",
  "functional": "PBE",
  "state": "optimized geometry",
  "cell": [[4.535, -1.763, 0.000], [4.535, 1.763, 0.000], [-3.667, 0.000, 6.534]],
  "species": ["As", "Au", "Au", "Cl"],
  "fractional_positions": [[0.000, 0.000, 0.000], [0.259, 0.259, 0.957], [0.422, 0.422, 0.716], [0.849, 0.849, 0.446]],
  "m_tot_mub_per_fu": 0.0,
  "dos_ef_per_ev_cell": 0.47,
  "spacegroup": "Cm (8)"
}

---

Run y
{
  "formula": "AsAu2Cl",
  "functional": "PBE",
  "state": "optimized geometry",
  "cell": [[3.923, 0.000, 0.000], [0.000, 3.923, 0.000], [0.000, 0.000, 5.201]],
  "species": ["As", "Au", "Au", "Cl"],
  "fractional_positions": [[0.000, 0.000, 0.000], [0.000, 0.500, 0.500], [0.500, 0.000, 0.500], [0.500, 0.500, 0.000]],
  "m_tot_mub_per_fu": 0.0,
  "dos_ef_per_ev_cell": 1.37,
  "spacegroup": "P4/mmm (123)"
}

---

Short version: run x, run w, run y, most stable first.

---

Run w
{
  "formula": "CsRbAsAuCl",
  "functional": "PBE",
  "state": "optimized geometry",
  "cell": [[6.080, 0.000, 0.000], [0.000, 4.061, 0.000], [-1.364, 0.000, 7.481]],
  "species": ["Cs", "Rb", "As", "Au", "Cl"],
  "fractional_positions": [[0.000, 0.000, 0.000], [0.428, 0.000, 0.588], [0.927, 0.500, 0.553], [0.685, 0.500, 0.272], [0.464, 0.500, 0.964]],
  "m_tot_mub_per_fu": 0.3,
  "dos_ef_per_ev_cell": 3.51,
  "spacegroup": "Pm (6)"
}

---

Run x
{
  "formula": "CsRbAsAuCl",
  "functional": "PBE",
  "state": "optimized geometry",
  "cell": [[2.241, 1.294, 9.961], [-2.241, 1.294, 9.961], [0.000, -2.588, 9.961]],
  "species": ["Cs", "Rb", "As", "Au", "Cl"],
  "fractional_positions": [[0.000, 0.000, 0.000], [0.811, 0.811, 0.811], [0.569, 0.569, 0.569], [0.235, 0.235, 0.235], [0.409, 0.409, 0.409]],
  "m_tot_mub_per_fu": 0.4,
  "dos_ef_per_ev_cell": 1.40,
  "spacegroup": "R3m (160)"
}

---

Short version: run x, run w, most stable first.

---

Run w
{
  "formula": "CsRbAsAuCl",
  "functional": "PBE",
  "state": "optimized geometry",
  "cell": [[5.192, 0.000, 0.000], [1.428, 6.199, 0.000], [0.039, 0.033, 7.066]],
  "species": ["Cs", "Rb", "As", "Au", "Cl"],
  "fractional_positions": [[0.000, 0.000, 0.000], [0.368, 0.447, 0.499], [0.741, 0.899, 0.502], [0.387, 0.425, 0.999], [0.167, 0.978, 0.500]],
  "m_tot_mub_per_fu": 1.0,
  "dos_ef_per_ev_cell": 4.34,
  "spacegroup": "P1 (1)"
}

---

Run x
{
  "formula": "CsRbAsAuCl",
  "functional": "PBE",
  "state": "optimized geometry",
  "cell": [[3.900, 0.000, 0.000], [0.000, 2.281, 9.675], [0.000, -2.281, 9.675]],
  "species": ["Cs", "Rb", "As", "Au", "Cl"],
  "fractional_positions": [[0.000, 0.000, 0.000], [0.000, 0.205, 0.205], [0.500, 0.370, 0.370], [0.500, 0.827, 0.827], [0.500, 0.610, 0.610]],
  "m_tot_mub_per_fu": 0.0,
  "dos_ef_per_ev_cell": 0.94,
  "spacegroup": "Amm2 (38)"
}

---

Short version: run x, run w, most stable first.

---

Run w
{
  "formula": "CsRbAsAuCl",
  "functional": "PBE",
  "state": "optimized geometry",
  "cell": [[4.478, 0.000, 0.000], [-2.239, 3.878, 0.000], [0.000, 0.000, 9.990]],
  "species": ["Cs", "Rb", "As", "Au", "Cl"],
  "fractional_positions": [[0.000, 0.000, 0.000], [0.000, 0.000, 0.566], [0.667, 0.333, 0.292], [0.333, 0.667, 0.292], [0.333, 0.667, 0.771]],
  "m_tot_mub_per_fu": 0.4,
  "dos_ef_per_ev_cell": 1.62,
  "spacegroup": "P3m1 (156)"
}

---

Run x
{
  "formula": "CsRbAsAuCl",
  "functional": "PBE",
  "state": "optimized geometry",
  "cell": [[5.440, 0.000, 0.000], [0.000, 4.262, 0.000], [-2.701, 0.000, 8.771]],
  "species": ["Cs", "Rb", "As", "Au", "Cl"],
  "fractional_positions": [[0.000, 0.000, 0.000], [0.277, 0.000, 0.545], [0.828, 0.500, 0.648], [0.691, 0.500, 0.376], [0.548, 0.500, 0.096]],
  "m_tot_mub_per_fu": 0.3,
  "dos_ef_per_ev_cell": 2.61,
  "spacegroup": "Pm (6)"
}

---

Run y
{
  "formula": "CsRbAsAuCl",
  "functional": "PBE",
  "state": "optimized geometry",
  "cell": [[-2.243, 2.300, 9.431], [2.243, -2.300, 9.431], [2.243, 2.300, -9.431]],
  "species": ["Cs", "Rb", "As", "Au", "Cl"],
  "fractional_positions": [[0.000, 0.000, 0.000], [0.285, 0.785, 0.500], [0.679, 0.179, 0.500], [0.631, 0.631, 0.000], [0.413, 0.413, 0.000]],
  "m_tot_mub_per_fu": 0.0,
  "dos_ef_per_ev_cell": 1.23,
  "spacegroup": "Imm2 (44)"
}

---

Run z
{
  "formula": "CsRbAsAuCl",
  "functional": "PBE",
  "state": "optimized geometry",
  "cell": [[4.636, 0.000, 0.000], [0.000, 4.066, 0.000], [-0.027, 0.000, 9.815]],
  "species": ["Cs", "Rb", "As", "Au", "Cl"],
  "fractional_positions": [[0.000, 0.000, 0.000], [0.507, 0.000, 0.571], [0.005, 0.500, 0.351], [0.504, 0.500, 0.267], [0.499, 0.500, 0.826]],
  "m_tot_mub_per_fu": 0.0,
  "dos_ef_per_ev_cell": 1.44,
  "spacegroup": "Pm (6)"
}

---

Short version: run w, run z, run y, run x, most stable first.

---

Run w
{
  "formula": "AsAuClO",
  "functional": "PBE",
  "state": "optimized geometry",
  "cell": [[4.357, 0.000, 0.000], [0.000, 2.805, 0.000], [-1.965, 0.000, 7.812]],
  "species": ["As", "Au", "Cl", "O"],
  "fractional_positions": [[0.000, 0.000, 0.000], [0.039, 0.000, 0.699], [0.151, 0.000, 0.414], [0.720, 0.500, 0.997]],
  "m_tot_mub_per_fu": 0.2,
  "dos_ef_per_ev_cell": 1.05,
  "spacegroup": "Pm (6)"
}

---

Run x
{
  "formula": "AsAuClO",
  "functional": "PBE",
  "state": "optimized geometry",
  "cell": [[3.024, 0.000, 0.000], [0.000, 4.007, 0.000], [-0.038, 0.000, 7.882]],
  "species": ["As", "Au", "Cl", "O"],
  "fractional_positions": [[0.000, 0.000, 0.000], [0.996, 0.500, 0.807], [0.985, 0.500, 0.510], [0.502, 0.000, 0.137]],
  "m_tot_mub_per_fu": 0.0,
  "dos_ef_per_ev_cell": 0.77,
  "spacegroup": "Pm (6)"
}

---

Short version: run x, run w, most stable first.

---

Run w
{
  "formula": "AsAuClO",
  "functional": "PBE",
  "state": "optimized geometry",
  "cell": [[7.187, -1.918, 0.000], [7.187, 1.918, 0.000], [-0.030, 0.000, 3.310]],
  "species": ["As", "Au", "Cl", "O"],
  "fractional_positions": [[0.000, 0.000, 0.000], [0.385, 0.385, 0.993], [0.772, 0.772, 0.982], [0.062, 0.062, 0.503]],
  "m_tot_mub_per_fu": 0.0,
  "dos_ef_per_ev_cell": 1.06,
  "spacegroup": "Cm (8)"
}

---

Run x
{
  "formula": "AsAuClO",
  "functional": "PBE",
  "state": "optimized geometry",
  "cell": [[5.283, -1.772, 0.000], [5.283, 1.772, 0.000], [-2.813, 0.000, 5.674]],
  "species": ["As", "Au", "Cl", "O"],
  "fractional_positions": [[0.000, 0.000, 0.000], [0.765, 0.765, 0.961], [0.130, 0.130, 0.388], [0.552, 0.552, 0.932]],
  "m_tot_mub_per_fu": 0.0,
  "dos_ef_per_ev_cell": 0.38,
  "spacegroup": "Cm (8)"
}

---

Run y
{
  "formula": "AsAuClO",
  "functional": "PBE",
  "state": "optimized geometry",
  "cell": [[3.952, 0.000, 0.000], [-0.319, 4.471, 0.000], [-1.763, -1.231, 5.844]],
  "species": ["As", "Au", "Cl", "O"],
  "fractional_positions": [[0.000, 0.000, 0.000], [0.522, 0.700, 0.076], [0.828, 0.993, 0.623], [0.066, 0.390, 0.118]],
  "m_tot_mub_per_fu": 0.0,
  "dos_ef_per_ev_cell": 0.51,
  "spacegroup": "P1 (1)"
}

---

Short version: run y, run w, run x, most stable first.